No. 1
Compound: Na2CdBr
Source: the Alexandria database
Functional: PBE
Structure: optimized geometry

The calculation puts the formation energy (no corrections) at -65.59 kJ/mol of atoms. The value obtained for the energy above the most stable polymorph in this dataset is 0 meV per atom.

The structure belongs to space group R-3m (No. 166, hexagonal axes); the cell edges are 3.8953, 3.8953 and 27.0832 Å and the angles 90.00°, 90.00° and 120.00°. The asymmetric unit holds Na at (0.0000, 0.0000, 0.2365), Cd at (0.0000, 0.0000, 0.0000) and Br at (0.0000, 0.0000, 0.5000).

No. 2
Compound: HgAuOF2
Source: the Alexandria database
Functional: PBE
Structure: optimized geometry

The calculation puts the formation energy (no corrections) at -16.67 kJ/mol of atoms. The value obtained for the energy above the most stable polymorph in this dataset is 510 meV per atom.

The structure belongs to space group P4/mmm (No. 123); the cell edges are 4.468, 4.468 and 4.195 Å and the angles 90.00°, 90.00° and 90.00°. The asymmetric unit holds Hg at (0.000, 0.000, 0.000), Au at (0.500, 0.500, 0.500), O at (0.000, 0.000, 0.500) and F at (0.000, 0.500, 0.000).

No. 3
Compound: Be3PdAu2
Source: the Alexandria database
Functional: PBE
Structure: optimized geometry

The calculation puts the formation energy at -265 meV per atom.

The structure belongs to space group P4/mmm (No. 123); the cell edges are 2.941, 2.941 and 8.691 Å and the angles 90.00°, 90.00° and 90.00°. The asymmetric unit holds Be at (0.000, 0.000, 0.000), Be at (0.000, 0.000, 0.349), Pd at (0.500, 0.500, 0.500) and Au at (0.500, 0.500, 0.171).

No. 4
Compound: Sn2Rh2I
Source: the Alexandria database
Functional: PBE
Structure: optimized geometry

The calculation puts the formation energy (no corrections) at -1.73 kJ/mol of atoms. The value obtained for the energy above the most stable polymorph in this dataset is 86 meV per atom.

The structure belongs to space group I4/mmm (No. 139); the cell edges are 4.501, 4.501 and 11.395 Å and the angles 90.00°, 90.00° and 90.00°. The asymmetric unit holds Sn at (0.000, 0.000, 0.127), Rh at (0.000, 0.500, 0.250) and I at (0.000, 0.000, 0.500).

No. 5
Compound: TlCuBr2
Source: the Alexandria database
Functional: PBE
Structure: optimized geometry

The calculation puts the formation energy (no corrections) at -52.26 kJ/mol of atoms. The value obtained for the energy above the most stable polymorph in this dataset is 0 meV per atom.

The structure belongs to space group Pna2_1 (No. 33); the cell edges are 7.363, 10.186 and 6.915 Å and the angles 90.00°, 90.00° and 90.00°. The asymmetric unit holds Tl at (0.169, 0.126, 0.000), Cu at (0.044, 0.374, 0.544), Br at (0.082, 0.422, 0.199) and Br at (0.143, 0.813, 0.159).

No. 6
Compound: Sr2GeClO
Source: the Alexandria database
Functional: PBE
Structure: optimized geometry

The calculation puts the formation energy (no corrections) at -85.12 kJ/mol of atoms.

The structure belongs to space group P4/mmm (No. 123); the cell edges are 5.916, 5.916 and 4.212 Å and the angles 90.00°, 90.00° and 90.00°. The asymmetric unit holds Sr at (0.000, 0.500, 0.000), Ge at (0.000, 0.000, 0.000), Cl at (0.500, 0.500, 0.500) and O at (0.000, 0.000, 0.500).

No. 7
Compound: SrSnTe3
Source: the Alexandria database
Functional: PBE
Structure: optimized geometry

The calculation puts the formation energy (no corrections) at -39.32 kJ/mol of atoms. The value obtained for the energy above the most stable polymorph in this dataset is 0 meV per atom.

The structure belongs to space group Pm-3m (No. 221); the cell edges are 5.743, 5.743 and 5.743 Å and the angles 90.00°, 90.00° and 90.00°. The asymmetric unit holds Sr at (0.000, 0.000, 0.000), Sn at (0.500, 0.500, 0.500) and Te at (0.000, 0.500, 0.500).

No. 8
Compound: SmDy2Pd3
Source: the Alexandria database
Functional: PBE
Structure: optimized geometry

The calculation puts the formation energy at -855 meV per atom.

The structure belongs to space group Pmmn (No. 59, origin choice 2); the cell edges are 5.045, 15.177 and 3.450 Å and the angles 90.00°, 90.00° and 90.00°. The asymmetric unit holds Sm at (0.250, 0.250, 0.001), Dy at (0.250, 0.583, 0.000), Pd at (0.250, 0.078, 0.500) and Pd at (0.250, 0.750, 0.498).

No. 9
Compound: Na2AgBr
Source: the Alexandria database
Functional: PBE
Structure: optimized geometry

The calculation puts the formation energy (no corrections) at -53.88 kJ/mol of atoms. The value obtained for the energy above the most stable polymorph in this dataset is 81 meV per atom.

The structure belongs to space group I-42d (No. 122); the cell edges are 7.703, 7.703 and 8.880 Å and the angles 90.00°, 90.00° and 90.00°. The asymmetric unit holds Na at (0.230, 0.250, 0.125), Ag at (0.000, 0.000, 0.500) and Br at (0.000, 0.000, 0.000).

So what do the calculations give for final energy? Going down the list: -1.99, -2.63, -4.09, -4.87, -2.99, -3.84, -3.43, -5.77, -2.35 eV/atom.